No. 1
A plane-wave DFT calculation with PBE-GGA was carried out for a geometry-optimized SbMo2Pb structure.

Unit cell a=3.261 b=3.261 c=8.356 alpha=90.00 beta=90.00 gamma=90.00
Atoms (fractional coordinates):
Mo  0.000  0.000  0.038
Mo  0.500  0.500  0.195
Pb  0.000  0.000  0.447
Sb  0.500  0.500  0.820

Computed properties:
**Formation energy from raw total energies**: 0.195 eV per atom
**Uncorrected energy**: -28.71 eV/cell
**Distance to the lowest polymorph of the same formula**: 0.000 kcal/mol of atoms
**Total magnetization**: 0.00 Bohr magnetons per cell
**Calculated density**: 9.7 g/cm3
**Space group**: P4mm

---

No. 2
A plane-wave DFT calculation with PBE-GGA was carried out for a geometry-optimized SbMoPb3 structure.

Unit cell a=5.855 b=5.855 c=5.855 alpha=90.00 beta=90.00 gamma=90.00
Each line ends with the local moment (μB).
Atoms (fractional coordinates):
Pb  0.000  0.500  0.000  -0.06
Pb  0.000  0.000  0.500  -0.03
Pb  0.500  0.000  0.000  -0.07
Sb  0.000  0.000  0.000  0.00
Mo  0.500  0.500  0.500  3.80

Computed properties:
**Formation energy from raw total energies**: 1.390 eV per atom
**Uncorrected energy**: -19.13 eV/cell
**Distance to the lowest polymorph of the same formula**: 17.991 kcal/mol of atoms
**Total magnetization**: 4.37 Bohr magnetons per cell
**Calculated density**: 6.9 g/cm3
**Space group**: Pm-3m

---

No. 3
A plane-wave DFT calculation with PBE-GGA was carried out for a geometry-optimized Si2SbMoPb structure.

Unit cell a=5.174 b=5.433 c=5.174 alpha=90.00 beta=90.00 gamma=90.00
Each line ends with the local moment (μB).
Atoms (fractional coordinates):
Pb  0.000  0.000  0.000  -0.01
Sb  0.500  0.500  0.500  -0.07
Mo  0.000  0.500  0.000  2.98
Si  0.000  0.000  0.500  0.00
Si  0.500  0.000  0.000  0.00

Computed properties:
**Formation energy from raw total energies**: 1.759 eV per atom
**Uncorrected energy**: -20.71 eV/cell
**Total magnetization**: 3.41 Bohr magnetons per cell
**Calculated density**: 5.5 g/cm3
**Space group**: P4/mmm

---

No. 4
A plane-wave DFT calculation with PBE-GGA was carried out for a geometry-optimized Tl2SbMoPb structure.

Unit cell a=5.791 b=5.523 c=5.791 alpha=90.00 beta=90.00 gamma=90.00
Each line ends with the local moment (μB).
Atoms (fractional coordinates):
Pb  0.000  0.000  0.000  -0.07
Sb  0.500  0.500  0.500  -0.30
Tl  0.000  0.000  0.500  -0.01
Tl  0.500  0.000  0.000  0.01
Mo  0.000  0.500  0.000  3.18

Computed properties:
**Formation energy from raw total energies**: 1.203 eV per atom
**Uncorrected energy**: -17.38 eV/cell
**Total magnetization**: 3.08 Bohr magnetons per cell
**Calculated density**: 7.5 g/cm3
**Space group**: P4/mmm